Nd3Sm2In3 | PBE-GGA | optimized geometry

a b c (Å): 5.410 6.345 9.081
angles (deg): 120.89 107.33 90.00
Atoms (fractional coordinates):
Nd 0.378 0.797 0.756
Nd 0.622 0.203 0.244
Nd 0.500 0.500 0.000
Sm 0.233 0.156 0.465
Sm 0.767 0.844 0.535
In 0.849 0.441 0.698
In 0.000 0.000 0.000
In 0.151 0.559 0.302

Calculated values
raw total energy: -4.230 eV per atom
energy above the lowest structure with this stoichiometry: 125 meV/atom
D(E_F): 0.94 states/eV/atom
SG: C2/m (12)